1.
Density functional theory data (GGA-PBE) for a relaxed structure of IrRuRhS2.

Properties
The total energy is -27.57 eV for the cell shown. For the magnetic moment, the calculation gives 0.819 μB per formula unit.

Cell lengths 4.4251, 4.4251, 4.8443 Å; angles 90.00, 90.00, 90.00 degrees
Space group P4/mmm (No. 123)
One atom of each set of equivalent atoms:
Ir: 0.0000 0.0000 0.0000
Ru: 0.0000 0.0000 0.5000
Rh: 0.5000 0.5000 0.0000
S: 0.0000 0.5000 0.5000

=====

2.
Density functional theory data (GGA-PBE) for a relaxed structure of SbIrRu2Rh.

Properties
The total energy is -29.29 eV for the cell shown. For the magnetic moment, the calculation gives 4.850 μB per formula unit.

Cell lengths 4.7905, 4.7905, 4.7868 Å; angles 90.00, 90.00, 90.00 degrees
Space group P4/mmm (No. 123)
One atom of each set of equivalent atoms:
Sb: 0.0000 0.0000 0.0000
Ir: 0.0000 0.0000 0.5000
Ru: 0.0000 0.5000 0.0000
Rh: 0.5000 0.5000 0.5000

=====

3.
Density functional theory data (GGA-PBE) for a relaxed structure of TaIrRuRh.

Properties
The calculation puts the formation energy at -0.5214 eV/atom. For the magnetic moment, the calculation gives 0.000 μB per formula unit.

Cell lengths 3.8967, 3.8983, 3.9290 Å; angles 90.00, 90.00, 90.00 degrees
Space group Pmmm (No. 47)
One atom of each set of equivalent atoms:
Ta: 0.0000 0.0000 0.0000
Ir: 0.5000 0.0000 0.5000
Ru: 0.5000 0.5000 0.0000
Rh: 0.0000 0.5000 0.5000

=====

4.
Density functional theory data (GGA-PBE) for a relaxed structure of TiIr2RuRh.

Properties
The calculation puts the formation energy at 1.2534 eV/atom. For the magnetic moment, the calculation gives 3.300 μB per formula unit.

Cell lengths 4.5505, 4.5505, 4.4427 Å; angles 90.00, 90.00, 90.00 degrees
Space group P4/mmm (No. 123)
One atom of each set of equivalent atoms:
Ti: 0.0000 0.0000 0.0000
Ir: 0.0000 0.5000 0.0000
Ru: 0.5000 0.5000 0.5000
Rh: 0.0000 0.0000 0.5000

=====

5.
Density functional theory data (GGA-PBE) for a relaxed structure of VIr2RuRh2.

Properties
The calculation puts the formation energy at 0.0357 eV/atom. For the magnetic moment, the calculation gives 0.000 μB per formula unit.

Cell lengths 4.9017, 5.3838, 6.6617 Å; angles 90.00, 97.86, 90.00 degrees
Space group P2_1/m (No. 11)
One atom of each set of equivalent atoms:
V: 0.0209 0.2500 0.0070
Ir: 0.2958 0.2500 0.3466
Ir: 0.4807 0.7500 0.0029
Ru: 0.2740 0.7500 0.3360
Rh: 0.2062 0.0003 0.6900

=====

6.
Density functional theory data (GGA-PBE) for a relaxed structure of V2IrRuRh2.

Properties
The calculation puts the formation energy at -0.1120 eV/atom. For the magnetic moment, the calculation gives 0.000 μB per formula unit.

Cell lengths 5.4827, 11.9267, 5.4725 Å; angles 90.00, 90.00, 90.00 degrees
Space group Ibam (No. 72)
One atom of each set of equivalent atoms:
V: 0.2458 0.1367 0.0000
Ir: 0.0000 0.5000 0.2500
Ru: 0.0000 0.0000 0.2500
Rh: 0.2450 0.1713 0.5000

=====

7.
Density functional theory data (GGA-PBE) for a relaxed structure of V2IrRuRh5.

Properties
The calculation puts the formation energy at 0.2863 eV/atom. For the magnetic moment, the calculation gives 0.279 μB per formula unit.

Cell lengths 6.9540, 6.9540, 10.9836 Å; angles 90.00, 90.00, 90.00 degrees
Space group I4/mcm (No. 140)
One atom of each set of equivalent atoms:
V: 0.1090 0.3910 0.0000
Ir: 0.0000 0.0000 0.2500
Ru: 0.0000 0.5000 0.2500
Rh: 0.0000 0.0000 0.0000
Rh: 0.2157 0.2843 0.3662

=====

8.
Density functional theory data (GGA-PBE) for a relaxed structure of IrRuRhW.

Properties
The calculation puts the formation energy at -0.2278 eV/atom. For the magnetic moment, the calculation gives 0.000 μB per formula unit.

Cell lengths 3.8482, 3.8613, 3.9166 Å; angles 90.00, 90.00, 90.00 degrees
Space group Pmmm (No. 47)
One atom of each set of equivalent atoms:
Ir: 0.0000 0.0000 0.0000
Ru: 0.0000 0.5000 0.5000
Rh: 0.5000 0.5000 0.0000
W: 0.5000 0.0000 0.5000